No. 1
DFT (PBE) results for an optimized crystal structure of UPd2Pt5.

Cell lengths 5.7446, 11.3069, 4.0949 Å; angles 90.00, 90.00, 90.00 degrees
Space group Pbam (No. 55)
One atom of each set of equivalent atoms:
1 U 0.0000 0.0000 0.0000 x2
2 Pd 0.2466 0.3736 0.5000 x4
3 Pt 0.0000 0.5000 0.0000 x2
4 Pt 0.0029 0.2406 0.0000 x4
5 Pt 0.2460 0.6206 0.5000 x4

As for the energy above the most stable polymorph in this dataset: 0 meV per atom. The density of states at the Fermi level is 9.14 states/eV per cell.

***

No. 2
DFT (PBE) results for an optimized crystal structure of Ac12TlIr6.

Cell lengths 14.6481, 14.6481, 10.8883 Å; angles 90.00, 90.00, 120.00 degrees
Space group R-3m (No. 166, hexagonal axes)
One atom of each set of equivalent atoms:
1 Ac 0.0000 0.3733 0.0000 x18
2 Ac 0.0876 0.1751 0.8588 x18
3 Tl 0.0000 0.0000 0.5000 x3
4 Ir 0.0541 0.5271 0.7784 x18

As for the energy above the most stable polymorph in this dataset: 139 meV per atom. The density of states at the Fermi level is 41.17 states/eV per cell.

***

No. 3
DFT (PBE) results for an optimized crystal structure of Hf2BiTe2.

Cell lengths 8.2727, 8.2727, 3.6230 Å; angles 90.00, 90.00, 90.00 degrees
Space group P4/mbm (No. 127)
One atom of each set of equivalent atoms:
1 Hf 0.1416 0.3584 0.0000 x4
2 Bi 0.0000 0.0000 0.0000 x2
3 Te 0.1436 0.6436 0.5000 x4

The density of states at the Fermi level is 6.34 states/eV per cell.

***

No. 4
DFT (PBE) results for an optimized crystal structure of Ag2Sn3Au4.

Cell lengths 8.2841, 4.6104, 10.2826 Å; angles 90.00, 95.09, 90.00 degrees
Space group C2/m (No. 12)
One atom of each set of equivalent atoms:
1 Ag 0.1729 0.0000 0.2063 x4
2 Sn 0.0000 0.5000 0.0000 x2
3 Sn 0.1527 0.0000 0.6133 x4
4 Au 0.0108 0.5000 0.3083 x4
5 Au 0.1640 0.0000 0.8991 x4

The density of states at the Fermi level is 4.67 states/eV per cell.

***

No. 5
DFT (PBE) results for an optimized crystal structure of K2MoOs.

Cell lengths 7.1488, 3.3135, 11.1192 Å; angles 90.00, 94.17, 90.00 degrees
Space group Cm (No. 8)
One atom of each set of equivalent atoms:
1 K 0.0000 0.0000 0.0000 x2
2 K 0.2257 0.0000 0.6106 x2
3 Mo 0.4623 0.0000 0.3383 x2
4 Os 0.2504 0.5000 0.2412 x2

As for the energy above the most stable polymorph in this dataset: 36 meV per atom. The density of states at the Fermi level is 5.01 states/eV per cell.

***

No. 6
DFT (PBE) results for an optimized crystal structure of Er2ZnOs.

Cell lengths 3.4180, 3.4180, 7.1684 Å; angles 90.00, 90.00, 90.00 degrees
Space group P4/mmm (No. 123)
One atom of each set of equivalent atoms:
1 Er 0.0000 0.0000 0.2290 x2
2 Zn 0.5000 0.5000 0.5000 x1
3 Os 0.5000 0.5000 0.0000 x1

As for the energy above the most stable polymorph in this dataset: 0 meV per atom. The density of states at the Fermi level is 2.59 states/eV per cell.

***

No. 7
DFT (PBE) results for an optimized crystal structure of LaNd2Dy5Ho.

Cell lengths 8.7692, 8.7692, 15.5961 Å; angles 90.00, 90.00, 90.00 degrees
Space group I4/mcm (No. 140)
One atom of each set of equivalent atoms:
1 La 0.0000 0.0000 0.2500 x4
2 Nd 0.1172 0.3828 0.0000 x8
3 Dy 0.0000 0.0000 0.0000 x4
4 Dy 0.2094 0.2906 0.3631 x16
5 Ho 0.0000 0.5000 0.2500 x4

The density of states at the Fermi level is 40.94 states/eV per cell.

***

No. 8
DFT (PBE) results for an optimized crystal structure of Y2Cl3.

Cell lengths 15.9092, 3.8571, 10.4092 Å; angles 90.00, 120.11, 90.00 degrees
Space group C2/m (No. 12)
One atom of each set of equivalent atoms:
1 Y 0.0844 0.0000 0.4524 x4
2 Y 0.1379 0.5000 0.7903 x4
3 Cl 0.0423 0.5000 0.2395 x4
4 Cl 0.1620 0.0000 0.0063 x4
5 Cl 0.2235 0.5000 0.6182 x4

***

No. 9
DFT (PBE) results for an optimized crystal structure of Nd2GePb.

Cell lengths 4.9929, 4.9929, 4.4136 Å; angles 90.00, 90.00, 90.00 degrees
Space group P4/mmm (No. 123)
One atom of each set of equivalent atoms:
1 Nd 0.0000 0.5000 0.0000 x2
2 Ge 0.0000 0.0000 0.5000 x1
3 Pb 0.5000 0.5000 0.5000 x1

The density of states at the Fermi level is 3.95 states/eV per cell.

***

No. 10
DFT (PBE) results for an optimized crystal structure of LiCu2F6.

Cell lengths 5.0742, 5.0742, 14.1939 Å; angles 90.00, 90.00, 120.00 degrees
Space group R3 (No. 146, hexagonal axes)
One atom of each set of equivalent atoms:
1 Li 0.0000 0.0000 0.0000 x3
2 Cu 0.0000 0.0000 0.3111 x3
3 Cu 0.0000 0.0000 0.5013 x3
4 F 0.0080 0.3385 0.2432 x9
5 F 0.0553 0.6933 0.0704 x9

As for the energy above the most stable polymorph in this dataset: 58 meV per atom. The density of states at the Fermi level is 15.30 states/eV per cell.

***

No. 11
DFT (PBE) results for an optimized crystal structure of Pr2Nd5Ho2.

Cell lengths 11.5562, 5.1716, 10.9634 Å; angles 90.00, 108.50, 90.00 degrees
Space group C2/m (No. 12)
One atom of each set of equivalent atoms:
1 Pr 0.0016 0.0000 0.1690 x4
2 Nd 0.0000 0.0000 0.5000 x2
3 Nd 0.1673 0.5000 0.3899 x4
4 Nd 0.1680 0.5000 0.0554 x4
5 Ho 0.1663 0.5000 0.7220 x4

As for the energy above the most stable polymorph in this dataset: 0 meV per atom. The density of states at the Fermi level is 27.44 states/eV per cell.

***

No. 12
DFT (PBE) results for an optimized crystal structure of GdPaW4.

Cell lengths 7.8384, 7.8384, 7.8384 Å; angles 90.00, 90.00, 90.00 degrees
Space group F-43m (No. 216)
One atom of each set of equivalent atoms:
1 Gd 0.0000 0.0000 0.0000 x4
2 Pa 0.2500 0.2500 0.2500 x4
3 W 0.1247 0.1247 0.6247 x16

The density of states at the Fermi level is 7.97 states/eV per cell.

***

No. 13
DFT (PBE) results for an optimized crystal structure of LaPm3Al8.

Cell lengths 5.6744, 5.6744, 9.3439 Å; angles 90.00, 90.00, 120.00 degrees
Space group P3m1 (No. 156)
One atom of each set of equivalent atoms:
1 La 0.0000 0.0000 0.0000 x1
2 Pm 0.0000 0.0000 0.3620 x1
3 Pm 0.6667 0.3333 0.4990 x1
4 Pm 0.6667 0.3333 0.8639 x1
5 Al 0.1622 0.3245 0.6792 x3
6 Al 0.3333 0.6667 0.4336 x1
7 Al 0.3333 0.6667 0.9309 x1
8 Al 0.5046 0.0091 0.1847 x3

As for the energy above the most stable polymorph in this dataset: 13 meV per atom. The density of states at the Fermi level is 6.48 states/eV per cell.

***

No. 14
DFT (PBE) results for an optimized crystal structure of Sr2In6CuPd.

Cell lengths 10.4269, 10.4269, 10.4269 Å; angles 90.00, 90.00, 90.00 degrees
Space group Fm-3m (No. 225)
One atom of each set of equivalent atoms:
1 Sr 0.2500 0.2500 0.2500 x8
2 In 0.0000 0.0000 0.2449 x24
3 Cu 0.0000 0.0000 0.0000 x4
4 Pd 0.0000 0.0000 0.5000 x4

The density of states at the Fermi level is 28.75 states/eV per cell.

***

No. 15
DFT (PBE) results for an optimized crystal structure of CsZnSbH2.

Cell lengths 8.4907, 4.6185, 6.7999 Å; angles 90.00, 92.42, 90.00 degrees
Space group Cm (No. 8)
One atom of each set of equivalent atoms:
1 Cs 0.0000 0.0000 0.0000 x2
2 Zn 0.2180 0.5000 0.3913 x2
3 Sb 0.3069 0.0000 0.5692 x2
4 H 0.0071 0.5000 0.4988 x2
5 H 0.1710 0.5000 0.1551 x2

As for the energy above the most stable polymorph in this dataset: 64 meV per atom.

***

No. 16
DFT (PBE) results for an optimized crystal structure of TcMoRh2.

Cell lengths 9.1754, 2.7451, 4.7195 Å; angles 90.00, 100.03, 90.00 degrees
Space group C2/m (No. 12)
One atom of each set of equivalent atoms:
1 Tc 0.0000 0.0000 0.0000 x2
2 Mo 0.0000 0.5000 0.5000 x2
3 Rh 0.2487 0.5000 0.2480 x4

As for the energy above the most stable polymorph in this dataset: 164 meV per atom. The density of states at the Fermi level is 9.00 states/eV per cell.

***

No. 17
DFT (PBE) results for an optimized crystal structure of PmEu2Al.

Cell lengths 4.8624, 4.8624, 5.1740 Å; angles 90.00, 90.00, 90.00 degrees
Space group P4/mmm (No. 123)
One atom of each set of equivalent atoms:
1 Pm 0.0000 0.0000 0.0000 x1
2 Eu 0.0000 0.5000 0.5000 x2
3 Al 0.5000 0.5000 0.0000 x1

As for the energy above the most stable polymorph in this dataset: 0 meV per atom. The density of states at the Fermi level is 3.66 states/eV per cell.

***

No. 18
DFT (PBE) results for an optimized crystal structure of CePmGdCd.

Cell lengths 7.7829, 7.7829, 7.7829 Å; angles 90.00, 90.00, 90.00 degrees
Space group F-43m (No. 216)
One atom of each set of equivalent atoms:
1 Ce 0.0000 0.0000 0.0000 x4
2 Pm 0.2500 0.2500 0.7500 x4
3 Gd 0.0000 0.0000 0.5000 x4
4 Cd 0.2500 0.2500 0.2500 x4

The density of states at the Fermi level is 33.93 states/eV per cell.

***

No. 19
DFT (PBE) results for an optimized crystal structure of Dy2Tm5Ga4.

Cell lengths 4.6283, 10.5844, 13.3459 Å; angles 90.00, 90.00, 90.00 degrees
Space group Immm (No. 71)
One atom of each set of equivalent atoms:
1 Dy 0.0000 0.0000 0.1952 x4
2 Tm 0.0000 0.3332 0.1520 x8
3 Tm 0.0000 0.5000 0.5000 x2
4 Ga 0.0000 0.0000 0.4073 x4
5 Ga 0.0000 0.1439 0.0000 x4

The density of states at the Fermi level is 22.96 states/eV per cell.

***

No. 20
DFT (PBE) results for an optimized crystal structure of ZnInPd6.

Cell lengths 3.9886, 3.9886, 7.8991 Å; angles 90.00, 90.00, 90.00 degrees
Space group P4/mmm (No. 123)
One atom of each set of equivalent atoms:
1 Zn 0.0000 0.0000 0.0000 x1
2 In 0.0000 0.0000 0.5000 x1
3 Pd 0.0000 0.5000 0.2408 x4
4 Pd 0.5000 0.5000 0.0000 x1
5 Pd 0.5000 0.5000 0.5000 x1

As for the energy above the most stable polymorph in this dataset: 5 meV per atom. The density of states at the Fermi level is 10.90 states/eV per cell.

***

no.,raw total energy (eV/cell)
1,-110.97
2,-334.35
3,-64.35
4,-62.57
5,-41.76
6,-23.00
7,-158.83
8,-110.89
9,-19.96
10,-111.32
11,-84.83
12,-297.59
13,-55.02
14,-124.55
15,-27.21
16,-72.16
17,-29.33
18,-102.40
19,-87.68
20,-38.02